1.
This record from Alexandria describes a relaxed structure of VCdRu3. The functional is PBE.

Cell and atoms, written as extended XYZ:
```
5
Lattice="4.828 0.000 0.000 0.000 4.828 0.000 0.000 0.000 4.828" Properties=species:S:1:pos:R:3 pbc="T T T"
V 0.000 0.000 0.000
Cd 2.414 2.414 2.414
Ru 0.000 2.414 2.414
Ru 2.414 0.000 2.414
Ru 2.414 2.414 0.000
```

Output
space group: Pm-3m, No. 221
excess energy over the best structure of this formula in the dataset: 1.349 eV per atom
theoretical density: 6.88 g cm⁻³
ΔH_f (0 K): 11.56 eV/f.u.



2.
This record from Alexandria describes a relaxed structure of Tb2Pr3Nd6Dy. The functional is PBE.

Cell and atoms, written as extended XYZ:
```
12
Lattice="3.173 -5.497 0.000 3.173 5.497 0.000 -2.122 0.000 11.918" Properties=species:S:1:pos:R:3 pbc="T T T"
Tb 3.173 3.665 0.000
Tb 3.173 -3.665 0.000
Pr -1.061 0.000 5.959
Pr 2.112 1.833 5.959
Pr 2.112 -1.833 5.959
Nd -0.007 1.831 8.993
Nd 1.059 0.000 2.926
Nd -0.007 -1.831 8.993
Nd 4.231 1.831 2.925
Nd 3.165 0.000 8.992
Nd 4.231 -1.831 2.925
Dy 3.173 0.000 0.000
```

Output
space group: C2/m, No. 12
theoretical density: 7.06 g cm⁻³
ΔH_f (0 K): 0.18 eV/f.u.



3.
This record from Alexandria describes a relaxed structure of Rb12HgAu6. The functional is PBE.

Cell and atoms, written as extended XYZ:
```
19
Lattice="-6.210 6.210 6.210 6.210 -6.210 6.210 6.210 6.210 -6.210" Properties=species:S:1:pos:R:3 pbc="T T T"
Rb 6.210 -2.333 3.981
Rb 3.877 2.229 0.000
Rb 8.543 2.229 0.000
Rb 3.981 6.210 -2.333
Rb 2.229 0.000 3.877
Rb 0.000 3.877 2.229
Rb 6.210 2.333 3.981
Rb 3.981 6.210 2.333
Rb 2.229 0.000 8.543
Rb -2.333 3.981 6.210
Rb 2.333 3.981 6.210
Rb 0.000 8.543 2.229
Hg 0.000 0.000 0.000
Au 6.210 0.000 1.439
Au 6.210 4.771 0.000
Au 1.439 6.210 0.000
Au 4.771 0.000 6.210
Au 0.000 1.439 6.210
Au 0.000 6.210 4.771
```

Output
space group: Im-3, No. 204
theoretical density: 4.17 g cm⁻³
ΔH_f (0 K): -4.01 eV/f.u.



4.
This record from Alexandria describes a relaxed structure of NaCd2BiPt. The functional is PBE.

Cell and atoms, written as extended XYZ:
```
5
Lattice="5.273 0.000 0.000 0.000 5.273 0.000 0.000 0.000 5.410" Properties=species:S:1:pos:R:3 pbc="T T T"
Na 0.000 0.000 0.000
Cd 0.000 2.636 2.705
Cd 2.636 0.000 2.705
Bi 2.636 2.636 0.000
Pt 2.636 2.636 2.705
```

Output
space group: P4/mmm, No. 123
theoretical density: 7.20 g cm⁻³
ΔH_f (0 K): -0.40 eV/f.u.



5.
This record from Alexandria describes a relaxed structure of KHgPt2. The functional is PBE.

Cell and atoms, written as extended XYZ:
```
4
Lattice="4.294 0.000 0.000 0.000 4.294 0.000 0.000 0.000 4.311" Properties=species:S:1:pos:R:3 pbc="T T T"
K 0.000 0.000 0.000
Hg 2.147 2.147 0.000
Pt 0.000 2.147 2.155
Pt 2.147 0.000 2.155
```

Output
space group: P4/mmm, No. 123
theoretical density: 13.16 g cm⁻³
ΔH_f (0 K): 1.02 eV/f.u.



6.
This record from Alexandria describes a relaxed structure of Tm3PO6. The functional is PBE.

Cell and atoms, written as extended XYZ:
```
20
Lattice="4.311 -5.430 0.000 4.311 5.430 0.000 0.000 0.000 5.818" Properties=species:S:1:pos:R:3 pbc="T T T"
Tm 4.311 4.428 2.909
Tm 2.625 1.191 2.733
Tm 2.625 -1.191 5.642
Tm 5.997 1.191 2.733
Tm 5.997 -1.191 5.642
Tm 4.311 -4.428 0.000
P 4.311 1.865 5.319
P 4.311 -1.865 2.410
O 3.033 2.699 4.708
O 1.417 0.109 4.283
O 1.417 -0.109 1.374
O 4.311 2.437 2.287
O 5.588 2.699 4.708
O 4.311 0.510 4.335
O 4.311 -0.510 1.427
O 3.033 -2.699 1.799
O 4.311 -2.437 5.195
O 7.205 0.109 4.283
O 7.205 -0.109 1.374
O 5.588 -2.699 1.799
```

Output
energy relative to the elements, uncorrected: -3117 meV/atom
space group: Cmc2_1, No. 36
theoretical density: 7.73 g cm⁻³



7.
This record from Alexandria describes a relaxed structure of La2TaCdAg. The functional is PBE.

Cell and atoms, written as extended XYZ:
```
5
Lattice="5.553 0.000 0.000 0.000 5.553 0.000 0.000 0.000 5.406" Properties=species:S:1:pos:R:3 pbc="T T T"
La 0.000 2.776 0.000
La 2.776 0.000 0.000
Ta 0.000 0.000 0.000
Cd 0.000 0.000 2.703
Ag 2.776 2.776 2.703
```

Output
space group: P4/mmm, No. 123
theoretical density: 6.76 g cm⁻³
ΔH_f (0 K): 2.98 eV/f.u.



8.
This record from Alexandria describes a relaxed structure of LaGa8Rh2. The functional is PBE.

Cell and atoms, written as extended XYZ:
```
11
Lattice="5.742 0.000 0.000 0.000 5.742 0.000 0.000 0.000 8.010" Properties=species:S:1:pos:R:3 pbc="T T T"
La 0.000 0.000 0.000
Ga 1.463 1.463 2.449
Ga 1.463 1.463 5.561
Ga 1.463 4.279 2.449
Ga 1.463 4.279 5.561
Ga 4.279 1.463 2.449
Ga 4.279 1.463 5.561
Ga 4.279 4.279 2.449
Ga 4.279 4.279 5.561
Rh 0.000 2.871 4.005
Rh 2.871 0.000 4.005
```

Output
space group: P4/mmm, No. 123
theoretical density: 5.67 g cm⁻³
ΔH_f (0 K): -1.38 eV/f.u.



9.
This record from Alexandria describes a relaxed structure of SrPm3Sn3. The functional is PBE.

Cell and atoms, written as extended XYZ:
```
14
Lattice="4.819 2.782 6.325 -4.819 2.782 6.325 0.000 -5.565 6.325" Properties=species:S:1:pos:R:3 pbc="T T T"
Sr 0.000 0.000 3.187
Sr 0.000 0.000 15.787
Pm -2.864 0.040 7.797
Pm -1.467 -2.460 11.177
Pm 1.397 -2.501 7.797
Pm -1.397 2.501 11.177
Pm 1.467 2.460 7.797
Pm 2.864 -0.040 11.177
Sn -1.742 -2.956 7.992
Sn -3.431 0.031 10.982
Sn -1.689 2.987 7.992
Sn 1.689 -2.987 10.982
Sn 3.431 -0.031 7.992
Sn 1.742 2.956 10.982
```

Output
space group: R-3, No. 148
theoretical density: 5.73 g cm⁻³
ΔH_f (0 K): -3.70 eV/f.u.



10.
This record from Alexandria describes a relaxed structure of BaTl2IrO6. The functional is PBE.

Cell and atoms, written as extended XYZ:
```
20
Lattice="5.903 0.000 0.000 0.000 6.339 0.000 -5.861 0.000 8.434" Properties=species:S:1:pos:R:3 pbc="T T T"
Ba 0.000 0.000 0.000
Ba -2.931 3.170 4.217
Tl -2.931 0.101 6.048
Tl 0.000 3.069 1.831
Tl 0.042 3.270 6.603
Tl 2.973 6.239 2.386
Ir 0.021 0.000 4.217
Ir 2.952 3.170 0.000
O -1.664 0.983 4.090
O -4.595 2.187 8.307
O -3.808 4.530 7.310
O -0.877 4.980 3.093
O 0.764 0.870 2.610
O -2.167 2.300 6.827
O 2.209 4.040 1.607
O -0.722 5.469 5.824
O 0.919 1.360 5.341
O 3.850 1.810 1.124
O 4.637 4.153 0.127
O 1.706 5.356 4.344
```

Output
energy relative to the elements, uncorrected: -1110 meV/atom
space group: P2_1/c, No. 14
theoretical density: 8.78 g cm⁻³



11.
This record from Alexandria describes a relaxed structure of LaTbGd2. The functional is PBE.

Cell and atoms, written as extended XYZ:
```
4
Lattice="0.000 4.072 4.072 4.072 0.000 4.072 4.072 4.072 0.000" Properties=species:S:1:pos:R:3 pbc="T T T"
La 0.000 0.000 0.000
Tb 4.072 4.072 4.072
Gd 2.036 2.036 2.036
Gd 6.108 6.108 6.108
```

Output
space group: Fm-3m, No. 225
excess energy over the best structure of this formula in the dataset: 0.072 eV per atom
theoretical density: 7.53 g cm⁻³
ΔH_f (0 K): 0.39 eV/f.u.



12.
This record from Alexandria describes a relaxed structure of PmDy2Tm8. The functional is PBE.

Cell and atoms, written as extended XYZ:
```
11
Lattice="-2.707 3.999 7.934 2.707 -3.999 7.934 2.707 3.999 -7.934" Properties=species:S:1:pos:R:3 pbc="T T T"
Pm 0.000 0.000 0.000
Dy 0.000 0.000 4.763
Dy 0.000 0.000 11.105
Tm 2.707 -1.663 5.709
Tm 2.707 0.000 2.579
Tm 2.707 2.354 0.000
Tm 0.000 2.337 2.225
Tm 2.707 1.663 5.709
Tm 0.000 1.646 7.934
Tm 0.000 3.999 5.355
Tm 0.000 5.662 2.225
```

Output
space group: Immm, No. 71
excess energy over the best structure of this formula in the dataset: 0.092 eV per atom
theoretical density: 8.80 g cm⁻³
ΔH_f (0 K): 1.29 eV/f.u.



13.
This record from Alexandria describes a relaxed structure of NaInHg2Bi. The functional is PBE.

Cell and atoms, written as extended XYZ:
```
10
Lattice="2.967 -8.315 0.000 2.967 8.315 0.000 0.000 0.000 5.931" Properties=species:S:1:pos:R:3 pbc="T T T"
Na 2.967 5.897 4.448
Na 2.967 -5.897 1.483
In 2.967 2.662 4.448
In 2.967 -2.662 1.483
Hg 1.496 0.000 0.000
Hg 1.496 0.000 2.965
Hg 4.438 0.000 0.000
Hg 4.438 0.000 2.965
Bi 2.967 4.185 1.483
Bi 2.967 -4.185 4.448
```

Output
space group: Cmcm, No. 63
theoretical density: 8.49 g cm⁻³
ΔH_f (0 K): -0.14 eV/f.u.



14.
This record from Alexandria describes a relaxed structure of ScP3S. The functional is PBE.

Cell and atoms, written as extended XYZ:
```
5
Lattice="4.494 0.000 0.000 0.000 4.494 0.000 0.000 0.000 4.494" Properties=species:S:1:pos:R:3 pbc="T T T"
Sc 0.000 0.000 0.000
P 0.000 2.247 2.247
P 2.247 0.000 2.247
P 2.247 2.247 0.000
S 2.247 2.247 2.247
```

Output
energy relative to the elements, uncorrected: 293 meV/atom
space group: Pm-3m, No. 221
excess energy over the best structure of this formula in the dataset: 0.000 eV per atom
theoretical density: 3.11 g cm⁻³



15.
This record from Alexandria describes a relaxed structure of Tb10Er4Tm. The functional is PBE.

Cell and atoms, written as extended XYZ:
```
15
Lattice="-6.037 6.037 3.818 6.037 -6.037 3.818 6.037 6.037 -3.818" Properties=species:S:1:pos:R:3 pbc="T T T"
Tb 4.836 3.621 -1.906
Tb 2.416 -1.201 1.912
Tb 6.037 0.000 1.909
Tb 3.621 7.238 -1.906
Tb 1.201 2.416 1.912
Tb 4.836 3.621 1.906
Tb 2.416 -1.201 5.724
Tb 0.000 6.037 1.909
Tb 3.621 7.238 1.906
Tb 1.201 2.416 5.724
Er 3.616 1.211 0.000
Er 4.826 -2.421 3.818
Er 1.211 8.458 0.000
Er 2.421 4.826 3.818
Tm 0.000 0.000 3.818
```

Output
space group: I4/m, No. 87
theoretical density: 7.24 g cm⁻³
ΔH_f (0 K): 10.77 eV/f.u.



16.
This record from Alexandria describes a relaxed structure of Sc6InGa5. The functional is PBE.

Cell and atoms, written as extended XYZ:
```
12
Lattice="-2.401 3.386 7.209 2.401 -3.386 7.209 2.401 3.386 -7.209" Properties=species:S:1:pos:R:3 pbc="T T T"
Sc 2.401 1.658 -2.464
Sc 0.000 1.616 0.000
Sc 2.401 1.658 2.464
Sc 0.000 1.728 4.746
Sc 0.000 5.157 0.000
Sc 0.000 1.728 9.673
In 0.000 0.000 7.209
Ga 2.401 0.000 0.000
Ga 0.000 0.000 2.413
Ga 2.401 0.000 4.880
Ga 0.000 3.386 2.329
Ga 0.000 0.000 12.006
```

Output
space group: Immm, No. 71
excess energy over the best structure of this formula in the dataset: 0.000 eV per atom
theoretical density: 5.19 g cm⁻³
ΔH_f (0 K): -6.63 eV/f.u.



17.
This record from Alexandria describes a relaxed structure of BeAsS2Cl. The functional is PBE.

Cell and atoms, written as extended XYZ:
```
5
Lattice="4.511 0.000 0.000 0.000 4.511 0.000 0.000 0.000 4.155" Properties=species:S:1:pos:R:3 pbc="T T T"
Be 0.000 0.000 0.000
As 2.255 2.255 2.077
S 0.000 2.255 0.000
S 2.255 0.000 0.000
Cl 0.000 0.000 2.077
```

Output
energy relative to the elements, uncorrected: 177 meV/atom
space group: P4/mmm, No. 123
excess energy over the best structure of this formula in the dataset: 0.000 eV per atom
theoretical density: 3.60 g cm⁻³



18.
This record from Alexandria describes a relaxed structure of SrCr2AgIr. The functional is PBE.

Cell and atoms, written as extended XYZ:
```
5
Lattice="4.786 0.000 0.000 0.000 4.786 0.000 0.000 0.000 5.769" Properties=species:S:1:pos:R:3 pbc="T T T"
Sr 0.000 0.000 0.000
Cr 0.000 2.393 2.884
Cr 2.393 0.000 2.884
Ag 2.393 2.393 0.000
Ir 0.000 0.000 2.884
```

Output
space group: P4/mmm, No. 123
theoretical density: 6.18 g cm⁻³
ΔH_f (0 K): 3.66 eV/f.u.



19.
This record from Alexandria describes a relaxed structure of NaZn2In2. The functional is PBE.

Cell and atoms, written as extended XYZ:
```
10
Lattice="8.426 0.000 0.000 0.000 8.426 0.000 0.000 0.000 3.240" Properties=species:S:1:pos:R:3 pbc="T T T"
Na 0.000 0.000 0.000
Na 4.213 4.213 0.000
Zn 1.319 2.894 1.620
Zn 2.894 7.107 1.620
Zn 5.532 1.319 1.620
Zn 7.107 5.532 1.620
In 1.180 5.393 0.000
In 3.033 1.180 0.000
In 5.393 7.246 0.000
In 7.246 3.033 0.000
```

Output
space group: P4/mbm, No. 127
excess energy over the best structure of this formula in the dataset: 0.060 eV per atom
theoretical density: 5.54 g cm⁻³
ΔH_f (0 K): 0.17 eV/f.u.



20.
This record from Alexandria describes a relaxed structure of ZrScInPd. The functional is PBE.

Cell and atoms, written as extended XYZ:
```
4
Lattice="3.289 0.000 0.000 0.000 3.289 0.000 0.000 0.000 7.543" Properties=species:S:1:pos:R:3 pbc="T T T"
Zr 0.000 0.000 0.000
Sc 0.000 0.000 3.397
In 1.644 1.644 5.475
Pd 1.644 1.644 1.866
```

Output
space group: P4mm, No. 99
theoretical density: 7.28 g cm⁻³
ΔH_f (0 K): -2.20 eV/f.u.



21.
This record from Alexandria describes a relaxed structure of Li2TcPb. The functional is PBE.

Cell and atoms, written as extended XYZ:
```
4
Lattice="2.849 0.000 0.000 0.000 2.849 0.000 0.000 0.000 8.958" Properties=species:S:1:pos:R:3 pbc="T T T"
Li 0.000 0.000 2.034
Li 0.000 0.000 6.924
Tc 1.424 1.424 0.000
Pb 1.424 1.424 4.479
```

Output
space group: P4/mmm, No. 123
theoretical density: 7.29 g cm⁻³
ΔH_f (0 K): 1.45 eV/f.u.



22.
This record from Alexandria describes a relaxed structure of Ca3U2CuP6. The functional is PBE.

Cell and atoms, written as extended XYZ:
```
12
Lattice="3.433 -5.945 0.000 3.433 5.945 0.000 -2.270 0.000 6.576" Properties=species:S:1:pos:R:3 pbc="T T T"
Ca 0.000 0.000 0.000
Ca 3.433 1.940 0.000
Ca 3.433 -1.940 0.000
U 2.298 3.958 3.288
U 2.298 -3.958 3.288
Cu 2.298 0.000 3.288
P 1.126 2.024 1.835
P -0.031 0.000 4.744
P 1.126 -2.024 1.835
P 3.471 2.024 4.741
P 4.627 0.000 1.831
P 3.471 -2.024 4.741
```

Output
space group: C2/m, No. 12
theoretical density: 5.23 g cm⁻³
ΔH_f (0 K): -9.45 eV/f.u.



23.
This record from Alexandria describes a relaxed structure of Cr2BTeBr. The functional is PBE.

Cell and atoms, written as extended XYZ:
```
5
Lattice="4.334 0.000 0.000 0.000 4.334 0.000 0.000 0.000 4.530" Properties=species:S:1:pos:R:3 pbc="T T T"
Cr 0.000 2.167 0.000
Cr 2.167 0.000 0.000
B 0.000 0.000 0.000
Te 0.000 0.000 2.265
Br 2.167 2.167 2.265
```

Output
energy relative to the elements, uncorrected: 1195 meV/atom
space group: P4/mmm, No. 123
theoretical density: 6.29 g cm⁻³